1.
A plane-wave DFT calculation with PBE-GGA was carried out for crystalline IrRuPt2 at its relaxed geometry.

Lattice parameters (Å, degrees): 3.911 3.911 3.897 90.00 90.00 90.00
Space group P4/mmm (No. 123)
One atom of each set of equivalent atoms:
Ir 0.000 0.000 0.000
Ru 0.500 0.500 0.000
Pt 0.000 0.500 0.500


2.
A plane-wave DFT calculation with PBE-GGA was carried out for crystalline BaAc2Tl at its relaxed geometry.

Lattice parameters (Å, degrees): 5.7210 5.7210 18.5287 90.00 90.00 120.00
Space group R-3m (No. 166, hexagonal axes)
One atom of each set of equivalent atoms:
Ba 0.0000 0.0000 0.0000
Ac 0.0000 0.0000 0.2259
Tl 0.0000 0.0000 0.5000


Density values, unit Mg/m³, following the record order: 19.04 7.55.
D(E_F) values, unit states/eV per cell, following the record order: 5.71 16.33.
E values, unit eV/atom, following the record order: -7.485 -3.079.